A geometry-optimized GaSn2MoF structure. Source: the Alexandria database, functional PBE+U.

Structure (extended XYZ):
```
5
Lattice="5.273 0.000 0.000 0.000 4.271 0.000 0.000 0.000 5.273" Properties=species:S:1:pos:R:3 pbc="T T T"
Ga 2.636 2.136 2.636
Sn 0.000 0.000 2.636
Sn 2.636 0.000 0.000
Mo 0.000 2.136 0.000
F 0.000 0.000 0.000
```

ρ ... 5.90 g/cm3
SG ... No. 123
Total energy ... -3.9729 eV/atom